Entry 1:
RbLaHgF6 after structural relaxation, computed with PBE.

a = 6.458 Å, b = 6.458 Å, c = 10.869 Å
α = 90.00°, β = 90.00°, γ = 120.00°
Positions (direct):
Rb: 0.000 0.000 0.000
Rb: 0.000 0.000 0.500
La: 0.333 0.667 0.250
La: 0.667 0.333 0.750
Hg: 0.333 0.667 0.750
Hg: 0.667 0.333 0.250
F: 0.001 0.371 0.143
F: 0.001 0.630 0.357
F: 0.370 0.371 0.357
F: 0.370 0.999 0.143
F: 0.371 0.001 0.643
F: 0.371 0.370 0.857
F: 0.629 0.630 0.143
F: 0.629 0.999 0.357
F: 0.630 0.001 0.857
F: 0.630 0.629 0.643
F: 0.999 0.370 0.643
F: 0.999 0.629 0.857

Results
E_tot   -4.83 eV/atom
Density of states at the Fermi level   0.00 states/eV per cell
Energy relative to the elements, uncorrected   -2.895 eV per atom

Entry 2:
PdPt2Pb6 after structural relaxation, computed with PBE.

a = 6.879 Å, b = 6.963 Å, c = 11.258 Å
α = 90.00°, β = 120.48°, γ = 90.00°
Positions (direct):
Pd: 0.000 0.000 0.000
Pd: 0.000 0.500 0.500
Pt: 0.308 0.134 0.775
Pt: 0.308 0.366 0.275
Pt: 0.692 0.634 0.725
Pt: 0.692 0.866 0.225
Pb: 0.120 0.503 0.775
Pb: 0.120 0.997 0.275
Pb: 0.259 0.664 0.084
Pb: 0.259 0.836 0.584
Pb: 0.408 0.185 0.067
Pb: 0.408 0.315 0.567
Pb: 0.592 0.685 0.433
Pb: 0.592 0.815 0.933
Pb: 0.741 0.164 0.416
Pb: 0.741 0.336 0.916
Pb: 0.880 0.003 0.725
Pb: 0.880 0.497 0.225

Results
E_tot   -4.51 eV/atom
Density of states at the Fermi level   8.64 states/eV per cell
Energy relative to the elements   -0.120 eV per atom

Entry 3:
TbDySnSe after structural relaxation, computed with PBE.

a = 4.260 Å, b = 4.260 Å, c = 6.032 Å
α = 90.00°, β = 90.00°, γ = 90.00°
Positions (direct):
Tb: 0.000 0.000 0.000
Dy: 0.500 0.500 0.500
Sn: 0.000 0.000 0.500
Se: 0.500 0.500 0.000

Results
E_tot   -5.43 eV/atom
Density of states at the Fermi level   0.82 states/eV per cell
Energy relative to the elements, uncorrected   -1.249 eV per atom

Entry 4:
Fe2NiRh after structural relaxation, computed with PBE.

a = 4.450 Å, b = 4.450 Å, c = 2.638 Å
α = 90.00°, β = 90.00°, γ = 107.66°
Positions (direct):
Fe: 0.000 0.500 0.000
Fe: 0.500 0.000 0.000
Ni: 0.000 0.000 0.500
Rh: 0.500 0.500 0.500

Results
E_tot   -7.54 eV/atom
Density of states at the Fermi level   4.93 states/eV per cell
Energy relative to the elements   -0.023 eV per atom

Entry 5:
Y5Pb4O after structural relaxation, computed with PBE.

a = 7.346 Å, b = 7.346 Å, c = 7.346 Å
α = 100.46°, β = 100.46°, γ = 129.57°
Positions (direct):
Y: 0.000 0.000 0.000
Y: 0.196 0.325 0.652
Y: 0.325 0.673 0.129
Y: 0.544 0.196 0.871
Y: 0.673 0.544 0.348
Pb: 0.256 0.996 0.394
Pb: 0.603 0.862 0.606
Pb: 0.862 0.256 0.259
Pb: 0.996 0.603 0.741
O: 0.365 0.365 0.000

Results
E_tot   -6.03 eV/atom
Density of states at the Fermi level   7.08 states/eV per cell
Energy relative to the elements, uncorrected   -0.815 eV per atom

Entry 6:
K2LiTa after structural relaxation, computed with PBE.

a = 7.661 Å, b = 7.661 Å, c = 7.661 Å
α = 158.28°, β = 128.17°, γ = 56.84°
Positions (direct):
K: 0.000 0.000 0.000
K: 0.713 0.213 0.500
Li: 0.264 0.764 0.500
Ta: 0.445 0.445 0.000

Results
Relative energy among the computed polymorphs   160 meV per atom
E_tot   -2.89 eV/atom
Density of states at the Fermi level   3.99 states/eV per cell
Energy relative to the elements   1.098 eV per atom